(1)
Material: NpPaZnIr
Method: DFT, PBE
State: relaxed

As for the formation energy: -98 kJ/mol of formula units.

Cell: 6.733 6.733 6.733 Å, 90.00 90.00 90.00°
Sites, in units of the cell vectors:
Np 0.000 0.000 0.000
Np 0.000 0.500 0.500
Np 0.500 0.000 0.500
Np 0.500 0.500 0.000
Pa 0.250 0.250 0.250
Pa 0.250 0.750 0.750
Pa 0.750 0.250 0.750
Pa 0.750 0.750 0.250
Zn 0.250 0.250 0.750
Zn 0.250 0.750 0.250
Zn 0.750 0.250 0.250
Zn 0.750 0.750 0.750
Ir 0.000 0.000 0.500
Ir 0.000 0.500 0.000
Ir 0.500 0.000 0.000
Ir 0.500 0.500 0.500

(2)
Material: NpIrPd
Method: DFT, PBE
State: relaxed

The calculation puts the distance to the lowest polymorph of the same formula at 0 meV/atom. As for the formation energy: -36 kJ/mol of formula units.

Cell: 4.234 4.234 6.545 Å, 90.00 90.00 90.00°
Sites, in units of the cell vectors:
Np 0.250 0.250 0.207
Np 0.750 0.750 0.793
Ir 0.250 0.750 0.500
Ir 0.750 0.250 0.500
Pd 0.250 0.250 0.788
Pd 0.750 0.750 0.212

no.,DOS at the Fermi energy (states/eV/atom)
1,0.9804
2,2.8488